Tl2MoRu: optimized geometry, GGA-PBE.

```
Tl2MoRu
1.0
-3.828 3.828 2.834
3.828 -3.828 2.834
3.828 3.828 -2.834
Tl Mo Ru
4 2 2
direct
0.113 0.625 0.988 Tl
0.375 0.363 0.488 Tl
0.637 0.125 0.012 Tl
0.875 0.887 0.512 Tl
0.250 0.750 0.500 Mo
0.500 0.500 0.000 Mo
0.000 0.000 0.000 Ru
0.750 0.250 0.500 Ru
```

- space-group type = I-42d
- energy (eV/f.u.) = -20.256
- density of states at the Fermi level (states/eV/atom) = 1.1019
- theoretical density (Mg/m³) = 12.110
- formation energy (eV/atom) = 1.146



Rb3As2H8: optimized geometry, GGA-PBE.

```
Rb3As2H8
1.0
3.215 1.856 7.502
-3.215 1.856 7.502
0.000 -3.713 7.502
Rb As H
3 2 8
direct
0.000 0.000 0.000 Rb
0.205 0.205 0.205 Rb
0.795 0.795 0.795 Rb
0.432 0.432 0.432 As
0.568 0.568 0.568 As
0.235 0.740 0.740 H
0.260 0.260 0.765 H
0.260 0.765 0.260 H
0.362 0.362 0.362 H
0.638 0.638 0.638 H
0.740 0.235 0.740 H
0.740 0.740 0.235 H
0.765 0.260 0.260 H
```

- space-group type = R-3m
- energy (eV/f.u.) = -36.301
- density of states at the Fermi level (states/eV/atom) = 0.3685
- theoretical density (Mg/m³) = 2.561



AlP2: optimized geometry, GGA-PBE.

```
AlP2
1.0
5.257 -1.493 0.000
5.257 1.493 0.000
-2.526 0.000 7.056
Al P
2 4
direct
0.125 0.125 0.482 Al
0.875 0.875 0.518 Al
0.258 0.258 0.245 P
0.466 0.466 0.232 P
0.534 0.534 0.768 P
0.742 0.742 0.755 P
```

- space-group type = C2/m
- energy (eV/f.u.) = -14.096
- density of states at the Fermi level (states/eV/atom) = 0.1335
- theoretical density (Mg/m³) = 2.666
- formation energy (eV/atom) = 0.155



K2RbTl: optimized geometry, GGA-PBE.

```
K2RbTl
1.0
0.000 4.694 4.694
4.694 0.000 4.694
4.694 4.694 0.000
K Rb Tl
2 1 1
direct
0.250 0.250 0.250 K
0.750 0.750 0.750 K
0.000 0.000 0.000 Rb
0.500 0.500 0.500 Tl
```

- space-group type = Fm-3m
- energy (eV/f.u.) = -5.388
- density of states at the Fermi level (states/eV/atom) = 1.3210
- theoretical density (Mg/m³) = 2.954
- formation energy (eV/atom) = 0.035



KCoCu: optimized geometry, GGA-PBE.

```
KCoCu
1.0
-1.668 1.668 5.835
1.668 -1.668 5.835
1.668 1.668 -5.835
K Co Cu
1 1 1
direct
0.000 0.000 0.000 K
0.733 0.733 0.000 Co
0.272 0.272 0.000 Cu
```

- space-group type = I4mm
- energy (eV/f.u.) = -10.171
- density of states at the Fermi level (states/eV/atom) = 1.4575
- theoretical density (Mg/m³) = 4.134
- formation energy (eV/atom) = 0.710



Te4IrRu: optimized geometry, GGA-PBE.

```
Te4IrRu
1.0
6.489 0.000 0.000
0.000 6.494 0.000
-0.013 0.000 6.492
Te Ir Ru
8 2 2
direct
0.127 0.132 0.368 Te
0.127 0.368 0.868 Te
0.365 0.630 0.370 Te
0.365 0.870 0.870 Te
0.635 0.130 0.130 Te
0.635 0.370 0.630 Te
0.873 0.632 0.132 Te
0.873 0.868 0.632 Te
0.500 0.000 0.500 Ir
0.500 0.500 0.000 Ir
0.000 0.000 0.000 Ru
0.000 0.500 0.500 Ru
```

- ΔE_f (raw) (eV per atom) = -0.276
- space-group type = P2_1/c
- energy (eV/f.u.) = -32.362
- density of states at the Fermi level (states/eV/atom) = 0.6713
- theoretical density (Mg/m³) = 9.755



Tl2InAu: optimized geometry, GGA-PBE.

```
Tl2InAu
1.0
-2.384 2.384 4.620
2.384 -2.384 4.620
2.384 2.384 -4.620
Tl In Au
2 1 1
direct
0.000 0.000 0.000 Tl
0.750 0.250 0.500 Tl
0.500 0.500 0.000 In
0.250 0.750 0.500 Au
```

- space-group type = I-4m2
- energy (eV/f.u.) = -10.554
- density of states at the Fermi level (states/eV/atom) = 0.4660
- theoretical density (Mg/m³) = 11.390
- formation energy (eV/atom) = 0.049



Li2SiNi5: optimized geometry, GGA-PBE.

```
Li2SiNi5
1.0
4.830 0.000 0.000
0.000 9.339 0.000
0.000 0.000 3.819
Li Si Ni
4 2 10
direct
0.158 0.131 0.000 Li
0.342 0.631 0.000 Li
0.658 0.369 0.000 Li
0.842 0.869 0.000 Li
0.000 0.500 0.500 Si
0.500 0.000 0.500 Si
0.000 0.000 0.500 Ni
0.120 0.741 0.500 Ni
0.165 0.386 0.000 Ni
0.335 0.886 0.000 Ni
0.380 0.241 0.500 Ni
0.500 0.500 0.500 Ni
0.620 0.759 0.500 Ni
0.665 0.114 0.000 Ni
0.835 0.614 0.000 Ni
0.880 0.259 0.500 Ni
```

- ΔE_f (raw) (eV per atom) = -0.238
- space-group type = Pbam
- energy (eV/f.u.) = -40.061
- density of states at the Fermi level (states/eV/atom) = 0.8614
- theoretical density (Mg/m³) = 6.467